No. 1
An optimized crystal structure of Zn2OsPt, computed with PBE.

a b c (Å): 2.7422 4.4482 4.8570
angles (deg): 90.00 90.00 90.00
Element x y z (fractional)
Zn1 0.0000 0.0000 0.0000
Zn2 0.5000 0.0000 0.5000
Os1 0.0000 0.5000 0.5000
Pt1 0.5000 0.5000 0.0000

calculated formation energy: 0.21 eV/f.u.
total moment: 0.00 μB/f.u.
calculated density: 14466 kg/m3
space-group type: Pmmm (47)

---

No. 2
An optimized crystal structure of LiAcCdAu, computed with PBE.

a b c (Å): 8.2077 4.7552 5.9894
angles (deg): 90.00 117.46 90.00
Element x y z (fractional)
Li1 0.0000 0.0000 0.0000
Li2 0.5000 0.5000 0.0000
Ac1 0.0169 0.5000 0.5501
Ac2 0.5169 0.0000 0.5501
Cd1 0.2244 0.5000 0.1722
Cd2 0.7244 0.0000 0.1722
Au1 0.3098 0.0000 0.9304
Au2 0.8098 0.5000 0.9304

calculated formation energy: -1.93 eV/f.u.
total moment: 0.00 μB/f.u.
calculated density: 8699 kg/m3
energy above the lowest structure with this stoichiometry: 0 meV/atom
space-group type: Cm (8)

---

No. 3
An optimized crystal structure of TiVSiW, computed with PBE.

a b c (Å): 6.1305 6.1305 6.1305
angles (deg): 90.00 90.00 90.00
Element x y z (fractional)
Ti1 0.0000 0.0000 0.0000
Ti2 0.0000 0.5000 0.5000
Ti3 0.5000 0.0000 0.5000
Ti4 0.5000 0.5000 0.0000
V1 0.0000 0.0000 0.5000
V2 0.0000 0.5000 0.0000
V3 0.5000 0.0000 0.0000
V4 0.5000 0.5000 0.5000
Si1 0.2500 0.2500 0.7500
Si2 0.2500 0.7500 0.2500
Si3 0.7500 0.2500 0.2500
Si4 0.7500 0.7500 0.7500
W1 0.2500 0.2500 0.2500
W2 0.2500 0.7500 0.7500
W3 0.7500 0.2500 0.7500
W4 0.7500 0.7500 0.2500

total moment: 0.00 μB/f.u.
calculated density: 8958 kg/m3
E_tot: -9.085 eV/atom
space-group type: F-43m (216)

---

No. 4
An optimized crystal structure of MnTeSeN2, computed with PBE.

a b c (Å): 3.8021 3.8021 5.2098
angles (deg): 90.00 90.00 90.00
Element x y z (fractional)
Mn1 0.0000 0.0000 0.0000
Te1 0.5000 0.5000 0.5000
Se1 0.0000 0.0000 0.5000
N1 0.0000 0.5000 0.0000
N2 0.5000 0.0000 0.0000

total moment: 0.00 μB/f.u.
calculated density: 6383 kg/m3
energy above the lowest structure with this stoichiometry: 99 meV/atom
space-group type: P4/mmm (123)

---

No. 5
An optimized crystal structure of CsMg2H, computed with PBE.

a b c (Å): 8.3946 8.3946 8.3946
angles (deg): 90.00 90.00 90.00
Element x y z (fractional)
Cs1 0.0000 0.0000 0.0000
Cs2 0.0000 0.5000 0.5000
Cs3 0.5000 0.0000 0.5000
Cs4 0.5000 0.5000 0.0000
Mg1 0.2500 0.2500 0.2500
Mg2 0.2500 0.2500 0.7500
Mg3 0.2500 0.7500 0.2500
Mg4 0.2500 0.7500 0.7500
Mg5 0.7500 0.2500 0.2500
Mg6 0.7500 0.2500 0.7500
Mg7 0.7500 0.7500 0.2500
Mg8 0.7500 0.7500 0.7500
H1 0.0000 0.0000 0.5000
H2 0.0000 0.5000 0.0000
H3 0.5000 0.0000 0.0000
H4 0.5000 0.5000 0.5000

total moment: 0.00 μB/f.u.
calculated density: 2049 kg/m3
E_tot: -1.099 eV/atom
space-group type: Fm-3m (225)

---

No. 6
An optimized crystal structure of Dy4Ho3Tm, computed with PBE.

a b c (Å): 11.1497 7.2138 6.2373
angles (deg): 90.00 90.00 90.00
Element x y z (fractional)
Dy1 0.0000 0.1258 0.0000
Dy2 0.0000 0.8744 0.4992
Dy3 0.2505 0.1259 0.3331
Dy4 0.2495 0.8741 0.8331
Dy5 0.5000 0.1256 0.9992
Dy6 0.5000 0.8742 0.5000
Dy7 0.7495 0.1259 0.3331
Dy8 0.7505 0.8741 0.8331
Ho1 0.0000 0.3758 0.4995
Ho2 0.2499 0.3758 0.8325
Ho3 0.2501 0.6242 0.3325
Ho4 0.5000 0.6242 0.9995
Ho5 0.7501 0.3758 0.8325
Ho6 0.7499 0.6242 0.3325
Tm1 0.0000 0.6244 0.9996
Tm2 0.5000 0.3756 0.4996

calculated formation energy: 0.03 eV/f.u.
total moment: 0.00 μB/f.u.
calculated density: 8697 kg/m3
energy above the lowest structure with this stoichiometry: 0 meV/atom
space-group type: Pmn2_1 (31)